1.
Crystalline HfSc2TcAs at its relaxed geometry, computed with PBEsol.

POSCAR file:
```
HfSc2TcAs
1.0
4.781 0.000 0.000
0.000 4.781 0.000
0.000 0.000 4.905
Hf Sc Tc As
1 2 1 1
Direct
0.000 0.000 0.000
0.000 0.500 0.500
0.500 0.000 0.500
0.500 0.500 0.000
0.000 0.000 0.500
```

Computed properties:
For the uncorrected energy, the calculation gives -38.0 eV for the cell shown. Its space group is P4/mmm. As for the formation energy: 419 meV/atom. Its density of states at the Fermi level is 4.8 states/eV per cell.

2.
Crystalline HfSiAsSe2 at its relaxed geometry, computed with PBEsol.

POSCAR file:
```
HfSiAsSe2
1.0
4.693 0.000 0.000
0.000 4.693 0.000
0.000 0.000 4.662
Hf Si As Se
1 1 1 2
Direct
0.000 0.000 0.000
0.500 0.500 0.500
0.500 0.500 0.000
0.000 0.500 0.500
0.500 0.000 0.500
```

Computed properties:
For the uncorrected energy, the calculation gives -27.9 eV for the cell shown. Its space group is P4/mmm. Its density of states at the Fermi level is 2.6 states/eV per cell.

3.
Crystalline HfSnAsSe2 at its relaxed geometry, computed with PBEsol.

POSCAR file:
```
HfSnAsSe2
1.0
5.037 0.000 0.000
0.000 5.037 0.000
0.000 0.000 5.073
Hf Sn As Se
1 1 1 2
Direct
0.000 0.000 0.000
0.500 0.500 0.500
0.500 0.500 0.000
0.000 0.500 0.500
0.500 0.000 0.500
```

Computed properties:
For the uncorrected energy, the calculation gives -24.4 eV for the cell shown. Its space group is P4/mmm. Its density of states at the Fermi level is 2.5 states/eV per cell.

Repeat the first record exactly.
Crystalline HfSc2TcAs at its relaxed geometry, computed with PBEsol.

POSCAR file:
```
HfSc2TcAs
1.0
4.781 0.000 0.000
0.000 4.781 0.000
0.000 0.000 4.905
Hf Sc Tc As
1 2 1 1
Direct
0.000 0.000 0.000
0.000 0.500 0.500
0.500 0.000 0.500
0.500 0.500 0.000
0.000 0.000 0.500
```

Computed properties:
For the uncorrected energy, the calculation gives -38.0 eV for the cell shown. Its space group is P4/mmm. As for the formation energy: 419 meV/atom. Its density of states at the Fermi level is 4.8 states/eV per cell.